Entry from Alexandria via LeMat-Bulk: a relaxed CrCdAs2 crystal (PBE).

Values from the calculation:
formation energy from the elements = 47.7 meV/atom
E_tot = -4.9117 eV per atom

Cell lengths 2.965, 3.045, 8.386 Å; angles 90.00, 90.11, 90.00 degrees
Space group P2/m (No. 10)
Asymmetric unit:
1 Cr 0.000 0.000 0.000 (multiplicity 1)
2 Cd 0.500 0.000 0.500 (multiplicity 1)
3 As 0.499 0.500 0.828 (multiplicity 2)

Entry from Alexandria via LeMat-Bulk: a relaxed NaPr2Si3Pt12 crystal (PBE).

Values from the calculation:
E_tot = -5.9598 eV per atom

Cell lengths 8.4294, 8.4294, 17.3209 Å; angles 90.00, 90.00, 120.00 degrees
Space group R-3m (No. 166, hexagonal axes)
Asymmetric unit:
1 Na 0.0000 0.0000 0.0000 (multiplicity 3)
2 Pr 0.0000 0.0000 0.3916 (multiplicity 6)
3 Si 0.0000 0.5000 0.5000 (multiplicity 9)
4 Pt 0.0123 0.5062 0.3669 (multiplicity 18)
5 Pt 0.0334 0.5167 0.8665 (multiplicity 18)

Entry from Alexandria via LeMat-Bulk: a relaxed BPbS2N crystal (PBE).

Values from the calculation:
energy relative to the lowest polymorph listed for this composition = 1.7029 eV per atom
E_tot = -3.4067 eV per atom

Cell lengths 5.235, 5.235, 4.450 Å; angles 90.00, 90.00, 90.00 degrees
Space group P4/mmm (No. 123)
Asymmetric unit:
1 B 0.000 0.000 0.000 (multiplicity 1)
2 Pb 0.500 0.500 0.500 (multiplicity 1)
3 S 0.000 0.500 0.500 (multiplicity 2)
4 N 0.500 0.500 0.000 (multiplicity 1)

Q: What is the E_tot in the third record?
A: -3.4067 eV per atom

Q: The highest E_tot belongs to which entry?
A: BPbS2N

Q: Which of these has the highest E_tot?
A: BPbS2N

Q: Which value of E_tot does entry 3 give?
A: -3.4067 eV per atom